## NbSb2H (PBE)

Data for a geometry-optimized NbSb2H structure.

Properties
Electronic total energy in eV/atom: -4.802

abc: 6.7648 6.7648 6.7648
angles: 90.00 90.00 90.00
Closest atoms and distances in Å follow each position.
Space group Fm-3m (No. 225)
Unique sites:
Nb 0.0000 0.0000 0.0000 x4  8 Sb 2.93
Sb 0.2500 0.2500 0.2500 x8  4 H 2.93, 4 Nb 2.93
H 0.0000 0.0000 0.5000 x4  8 Sb 2.93

=====

## BeCu2Tc (PBE)

Data for a geometry-optimized BeCu2Tc structure.

Properties
Electronic total energy in eV/atom: -5.465

abc: 2.5105 3.8096 5.0974
angles: 90.00 104.05 90.00
Closest atoms and distances in Å follow each position.
Space group Pm (No. 6)
Unique sites:
Be 0.0000 0.0000 0.0000 x1  3 Cu 2.32-2.49, 4 Tc 2.50, 2 Be 2.51
Cu 0.1288 0.5000 0.2664 x1  2 Be 2.32, 6 Cu 2.51-2.55
Cu 0.7463 0.0000 0.4960 x1  3 Be 2.49-2.76, 6 Cu 2.51-2.55, 4 Tc 2.71-2.72
Tc 0.3977 0.5000 0.7943 x1  4 Be 2.50, 2 Tc 2.51, 7 Cu 2.61-2.72